DFT (GGA+U) results for a geometry-optimized Rb2CoH8C2O10 structure.

Summary:
**Total DFT energy (no corrections)**: -5.7364 eV/atom
**Calculated volume**: 10.5 Å³ per atom
**Symmetry**: P2_1/c, No. 14

Lattice parameters (Å, degrees): 6.9419 6.3081 12.1381 90.00 114.82 90.00
Last column: magnetic moment on the atom in μB.
Positions (direct):
C 0.2509 0.3537 0.1786  0.00
C 0.7491 0.8537 0.3214  0.00
C 0.2509 0.1463 0.6786  0.00
C 0.7491 0.6463 0.8214  0.00
Co 0.0000 0.0000 0.0000  2.74
Co 0.0000 0.5000 0.5000  2.74
H 0.7979 0.6972 0.0194  0.00
H 0.2968 0.6812 0.0840  0.00
H 0.4309 0.8964 0.1201  0.00
H 0.8005 0.8437 0.1335  0.00
H 0.1995 0.3437 0.3665  0.00
H 0.5691 0.3964 0.3799  0.00
H 0.7032 0.1812 0.4160  0.00
H 0.2021 0.1972 0.4806  0.00
H 0.7979 0.8028 0.5194  0.00
H 0.2968 0.8188 0.5840  0.00
H 0.4309 0.6036 0.6201  0.00
H 0.8005 0.6563 0.6335  0.00
H 0.1995 0.1563 0.8665  0.00
H 0.5691 0.1036 0.8799  0.00
H 0.7032 0.3188 0.9160  0.00
H 0.2021 0.3028 0.9806  0.00
O 0.2908 0.8366 0.0630  0.03
O 0.8911 0.7833 0.0941  0.03
O 0.3166 0.4282 0.1000  0.00
O 0.1190 0.1977 0.1513  0.03
O 0.6810 0.9388 0.2143  0.01
O 0.3190 0.4388 0.2857  0.01
O 0.8810 0.6977 0.3487  0.03
O 0.6834 0.9282 0.4000  0.00
O 0.1089 0.2833 0.4059  0.03
O 0.7092 0.3366 0.4370  0.03
O 0.2908 0.6634 0.5630  0.03
O 0.8911 0.7167 0.5941  0.03
O 0.3166 0.0718 0.6000  0.00
O 0.1190 0.3023 0.6513  0.03
O 0.6810 0.5612 0.7143  0.01
O 0.3190 0.0612 0.7857  0.01
O 0.8810 0.8023 0.8487  0.03
O 0.6834 0.5718 0.9000  0.00
O 0.1089 0.2167 0.9059  0.03
O 0.7092 0.1634 0.9370  0.03
Rb 0.7545 0.3612 0.1731  0.00
Rb 0.2455 0.8612 0.3269  0.00
Rb 0.7545 0.1388 0.6731  0.00
Rb 0.2455 0.6388 0.8269  0.00

***

DFT (GGA+U) results for a geometry-optimized CoH9C6S6O3 structure.

Summary:
**Total DFT energy (no corrections)**: -5.4391 eV/atom
**Calculated volume**: 13.8 Å³ per atom
**Symmetry**: P2_1/c, No. 14

Lattice parameters (Å, degrees): 9.5007 13.4827 12.5098 90.00 120.36 90.00
Positions (direct):
C 0.8736 0.6971 0.0080
C 0.7394 0.2181 0.1083
C 0.2290 0.1759 0.1433
C 0.2771 0.5082 0.2071
C 0.0647 0.4456 0.2366
C 0.7293 0.3441 0.2376
C 0.2707 0.8441 0.2624
C 0.9353 0.9456 0.2634
C 0.7229 0.0082 0.2929
C 0.7710 0.6759 0.3567
C 0.2606 0.7181 0.3917
C 0.1264 0.1971 0.4920
C 0.8736 0.8029 0.5080
C 0.7394 0.2819 0.6083
C 0.2290 0.3241 0.6433
C 0.2771 0.9918 0.7071
C 0.0647 0.0544 0.7366
C 0.7293 0.1559 0.7376
C 0.2707 0.6559 0.7624
C 0.9353 0.5544 0.7634
C 0.7229 0.4918 0.7929
C 0.7710 0.8241 0.8567
C 0.2606 0.7819 0.8917
C 0.1264 0.3029 0.9920
Co 0.4083 0.0096 0.2346
Co 0.5917 0.5097 0.2654
Co 0.4083 0.4904 0.7346
Co 0.5917 0.9904 0.7654
H 0.2486 0.3261 0.0130
H 0.9543 0.6334 0.0286
H 0.7428 0.2709 0.0429
H 0.6139 0.1930 0.0748
H 0.9266 0.7492 0.0860
H 0.8205 0.1555 0.1232
H 0.8706 0.9615 0.1637
H 0.9348 0.4617 0.1952
H 0.0851 0.3683 0.2204
H 0.9149 0.8683 0.2796
H 0.0652 0.9617 0.3048
H 0.1294 0.4615 0.3363
H 0.1795 0.6555 0.3768
H 0.0734 0.2492 0.4140
H 0.3861 0.6930 0.4252
H 0.2572 0.7709 0.4571
H 0.0457 0.1334 0.4714
H 0.7514 0.8261 0.4870
H 0.2486 0.1739 0.5130
H 0.9543 0.8666 0.5286
H 0.7428 0.2291 0.5429
H 0.6139 0.3070 0.5748
H 0.9266 0.7508 0.5860
H 0.8205 0.3445 0.6232
H 0.8706 0.5385 0.6637
H 0.9348 0.0383 0.6952
H 0.0851 0.1317 0.7204
H 0.9149 0.6317 0.7796
H 0.0652 0.5383 0.8048
H 0.1294 0.0385 0.8363
H 0.1795 0.8444 0.8768
H 0.0734 0.2508 0.9140
H 0.3861 0.8070 0.9252
H 0.2572 0.7291 0.9571
H 0.0457 0.3666 0.9714
H 0.7514 0.6739 0.9870
O 0.1368 0.2565 0.1004
O 0.1203 0.5118 0.1742
O 0.8046 0.2639 0.2291
O 0.1954 0.7639 0.2709
O 0.8797 0.0118 0.3258
O 0.8632 0.7565 0.3996
O 0.1368 0.2435 0.6004
O 0.1203 0.9882 0.6742
O 0.8046 0.2361 0.7291
O 0.1954 0.7361 0.7709
O 0.8797 0.4882 0.8258
O 0.8632 0.7435 0.8996
S 0.3264 0.1198 0.0780
S 0.5644 0.3996 0.1195
S 0.1992 0.9025 0.1250
S 0.3501 0.5857 0.1404
S 0.5808 0.9310 0.1868
S 0.7419 0.6199 0.2264
S 0.2581 0.1199 0.2736
S 0.4192 0.4310 0.3132
S 0.6499 0.0857 0.3596
S 0.8008 0.4025 0.3750
S 0.4356 0.8996 0.3805
S 0.6736 0.6198 0.4220
S 0.3264 0.3802 0.5780
S 0.5644 0.1004 0.6195
S 0.1992 0.5975 0.6250
S 0.3501 0.9143 0.6404
S 0.5808 0.5690 0.6868
S 0.7419 0.8801 0.7264
S 0.2581 0.3801 0.7736
S 0.4192 0.0690 0.8132
S 0.6499 0.4143 0.8596
S 0.8008 0.0975 0.8750
S 0.4356 0.6004 0.8805
S 0.6736 0.8802 0.9220